No. 1
! GGA-PBE Li2TlPd6, relaxed; values from VASP
&SYSTEM
  ibrav = 0, nat = 9, ntyp = 3
/
ATOMIC_SPECIES
Li 6.94 Li.upf
Tl 204.38 Tl.upf
Pd 106.42 Pd.upf
ATOMIC_POSITIONS crystal
Li 0.333 0.667 0.228
Li 0.667 0.333 0.772
Tl 0.000 0.000 0.000
Pd 0.000 0.000 0.333
Pd 0.000 0.000 0.667
Pd 0.333 0.667 0.538
Pd 0.333 0.667 0.874
Pd 0.667 0.333 0.126
Pd 0.667 0.333 0.462
CELL_PARAMETERS angstrom
4.460 0.000 0.000
-2.230 3.863 0.000
0.000 0.000 8.171
! Calculated formation energy = -25 kJ/mol of atoms
! SG = P-3m1 (164)
! Final energy = -4.4142 eV/atom



No. 2
! GGA-PBE Li6TlPd3, relaxed; values from VASP
&SYSTEM
  ibrav = 0, nat = 20, ntyp = 3
/
ATOMIC_SPECIES
Li 6.94 Li.upf
Tl 204.38 Tl.upf
Pd 106.42 Pd.upf
ATOMIC_POSITIONS crystal
Li 0.039 0.250 0.404
Li 0.124 0.750 0.196
Li 0.220 0.250 0.982
Li 0.319 0.750 0.775
Li 0.334 0.250 0.300
Li 0.433 0.250 0.584
Li 0.567 0.750 0.416
Li 0.666 0.750 0.700
Li 0.681 0.250 0.225
Li 0.780 0.750 0.018
Li 0.876 0.250 0.804
Li 0.961 0.750 0.596
Tl 0.448 0.750 0.109
Tl 0.552 0.250 0.891
Pd 0.050 0.750 0.899
Pd 0.146 0.250 0.693
Pd 0.244 0.750 0.486
Pd 0.756 0.250 0.514
Pd 0.854 0.750 0.307
Pd 0.950 0.250 0.101
CELL_PARAMETERS angstrom
7.638 0.000 0.000
0.000 4.396 0.000
-2.579 0.000 9.028
! Calculated formation energy = -33 kJ/mol of atoms
! SG = P2_1/m (11)
! Final energy = -3.2848 eV/atom



No. 3
! GGA-PBE Li2TlPd3, relaxed; values from VASP
&SYSTEM
  ibrav = 0, nat = 12, ntyp = 3
/
ATOMIC_SPECIES
Li 6.94 Li.upf
Tl 204.38 Tl.upf
Pd 106.42 Pd.upf
ATOMIC_POSITIONS crystal
Li 0.000 0.000 0.000
Li 0.000 0.000 0.500
Li 0.331 0.669 0.000
Li 0.669 0.331 0.000
Tl 0.344 0.656 0.500
Tl 0.656 0.344 0.500
Pd 0.165 0.835 0.226
Pd 0.165 0.835 0.774
Pd 0.500 0.500 0.216
Pd 0.500 0.500 0.784
Pd 0.835 0.165 0.226
Pd 0.835 0.165 0.774
CELL_PARAMETERS angstrom
2.163 -6.511 0.000
2.163 6.511 0.000
0.000 0.000 6.598
! Calculated formation energy = -36 kJ/mol of atoms
! SG = Cmmm (65)
! Final energy = -4.0006 eV/atom



No. 4
! GGA-PBE Li5Tl2Pd5, relaxed; values from VASP
&SYSTEM
  ibrav = 0, nat = 12, ntyp = 3
/
ATOMIC_SPECIES
Li 6.94 Li.upf
Tl 204.38 Tl.upf
Pd 106.42 Pd.upf
ATOMIC_POSITIONS crystal
Li 0.000 0.000 0.000
Li 0.103 0.103 0.760
Li 0.162 0.162 0.508
Li 0.838 0.838 0.492
Li 0.897 0.897 0.240
Tl 0.416 0.416 0.747
Tl 0.584 0.584 0.253
Pd 0.251 0.251 0.251
Pd 0.336 0.336 0.004
Pd 0.500 0.500 0.500
Pd 0.664 0.664 0.996
Pd 0.749 0.749 0.749
CELL_PARAMETERS angstrom
5.802 -2.022 0.000
5.802 2.022 0.000
-3.747 0.000 8.185
! Calculated formation energy = -36 kJ/mol of atoms
! SG = C2/m (12)
! Final energy = -3.7234 eV/atom



No. 5
! GGA-PBE Li3TlPd3, relaxed; values from VASP
&SYSTEM
  ibrav = 0, nat = 14, ntyp = 3
/
ATOMIC_SPECIES
Li 6.94 Li.upf
Tl 204.38 Tl.upf
Pd 106.42 Pd.upf
ATOMIC_POSITIONS crystal
Li 0.080 0.635 0.250
Li 0.365 0.445 0.250
Li 0.445 0.080 0.750
Li 0.555 0.920 0.250
Li 0.635 0.555 0.750
Li 0.920 0.365 0.750
Tl 0.333 0.667 0.750
Tl 0.667 0.333 0.250
Pd 0.041 0.801 0.750
Pd 0.199 0.240 0.750
Pd 0.240 0.041 0.250
Pd 0.760 0.959 0.750
Pd 0.801 0.760 0.250
Pd 0.959 0.199 0.250
CELL_PARAMETERS angstrom
7.420 0.000 0.000
-3.710 6.425 0.000
0.000 0.000 4.621
! Calculated formation energy = -32 kJ/mol of atoms
! SG = P6_3/m (176)
! Final energy = -3.7206 eV/atom



No. 6
! GGA-PBE LiTl3Pd, relaxed; values from VASP
&SYSTEM
  ibrav = 0, nat = 5, ntyp = 3
/
ATOMIC_SPECIES
Li 6.94 Li.upf
Tl 204.38 Tl.upf
Pd 106.42 Pd.upf
ATOMIC_POSITIONS crystal
Li 0.000 0.000 0.000
Tl 0.000 0.500 0.500
Tl 0.500 0.000 0.500
Tl 0.500 0.500 0.000
Pd 0.500 0.500 0.500
CELL_PARAMETERS angstrom
5.363 0.000 0.000
0.000 5.363 0.000
0.000 0.000 5.363
! Calculated formation energy = 5 kJ/mol of atoms
! SG = Pm-3m (221)
! Final energy = -2.7926 eV/atom



No. 7
! GGA-PBE Li2TlPd4, relaxed; values from VASP
&SYSTEM
  ibrav = 0, nat = 14, ntyp = 3
/
ATOMIC_SPECIES
Li 6.94 Li.upf
Tl 204.38 Tl.upf
Pd 106.42 Pd.upf
ATOMIC_POSITIONS crystal
Li 0.000 0.000 0.000
Li 0.156 0.299 0.522
Li 0.483 0.874 0.690
Li 0.801 0.571 0.121
Tl 0.235 0.427 0.847
Tl 0.385 0.744 0.382
Pd 0.075 0.160 0.266
Pd 0.305 0.593 0.109
Pd 0.538 0.009 0.965
Pd 0.586 0.167 0.258
Pd 0.660 0.296 0.547
Pd 0.748 0.437 0.828
Pd 0.875 0.725 0.406
Pd 0.963 0.869 0.694
CELL_PARAMETERS angstrom
5.580 0.000 0.000
1.506 6.174 0.000
2.737 2.569 6.492
! Calculated formation energy = -31 kJ/mol of atoms
! SG = P1 (1)
! Final energy = -4.1683 eV/atom



No. 8
! GGA-PBE Li3TlPd2, relaxed; values from VASP
&SYSTEM
  ibrav = 0, nat = 6, ntyp = 3
/
ATOMIC_SPECIES
Li 6.94 Li.upf
Tl 204.38 Tl.upf
Pd 106.42 Pd.upf
ATOMIC_POSITIONS crystal
Li 0.000 0.000 0.000
Li 0.320 0.680 0.000
Li 0.680 0.320 0.000
Tl 0.500 0.500 0.500
Pd 0.167 0.833 0.500
Pd 0.833 0.167 0.500
CELL_PARAMETERS angstrom
2.067 -5.895 0.000
2.067 5.895 0.000
0.000 0.000 3.838
! Calculated formation energy = -38 kJ/mol of atoms
! SG = Cmmm (65)
! Final energy = -3.4738 eV/atom



No. 9
! GGA-PBE Li4TlPd3, relaxed; values from VASP
&SYSTEM
  ibrav = 0, nat = 8, ntyp = 3
/
ATOMIC_SPECIES
Li 6.94 Li.upf
Tl 204.38 Tl.upf
Pd 106.42 Pd.upf
ATOMIC_POSITIONS crystal
Li 0.119 0.119 0.120
Li 0.257 0.257 0.756
Li 0.743 0.743 0.244
Li 0.881 0.881 0.880
Tl 0.000 0.000 0.500
Pd 0.362 0.362 0.361
Pd 0.500 0.500 0.000
Pd 0.638 0.638 0.639
CELL_PARAMETERS angstrom
9.238 -1.557 0.000
9.238 1.557 0.000
-1.110 0.000 4.410
! Calculated formation energy = -31 kJ/mol of atoms
! SG = C2/m (12)
! Final energy = -3.5179 eV/atom



No. 10
! GGA-PBE LiTl6Pd2, relaxed; values from VASP
&SYSTEM
  ibrav = 0, nat = 9, ntyp = 3
/
ATOMIC_SPECIES
Li 6.94 Li.upf
Tl 204.38 Tl.upf
Pd 106.42 Pd.upf
ATOMIC_POSITIONS crystal
Li 0.000 0.000 0.000
Tl 0.029 0.029 0.683
Tl 0.284 0.284 0.384
Tl 0.329 0.329 0.967
Tl 0.671 0.671 0.033
Tl 0.716 0.716 0.616
Tl 0.971 0.971 0.317
Pd 0.412 0.412 0.756
Pd 0.588 0.588 0.244
CELL_PARAMETERS angstrom
6.965 -1.936 0.000
6.965 1.936 0.000
-5.659 0.000 8.026
! Calculated formation energy = -12 kJ/mol of atoms
! SG = C2/m (12)
! Final energy = -3.0668 eV/atom



No. 11
! GGA-PBE Li12Tl6Pd, relaxed; values from VASP
&SYSTEM
  ibrav = 0, nat = 19, ntyp = 3
/
ATOMIC_SPECIES
Li 6.94 Li.upf
Tl 204.38 Tl.upf
Pd 106.42 Pd.upf
ATOMIC_POSITIONS crystal
Li 0.030 0.941 0.302
Li 0.059 0.698 0.970
Li 0.137 0.464 0.360
Li 0.302 0.030 0.941
Li 0.360 0.137 0.464
Li 0.464 0.360 0.137
Li 0.536 0.640 0.863
Li 0.640 0.863 0.536
Li 0.698 0.970 0.059
Li 0.863 0.536 0.640
Li 0.941 0.302 0.030
Li 0.970 0.059 0.698
Tl 0.214 0.375 0.767
Tl 0.233 0.786 0.625
Tl 0.375 0.767 0.214
Tl 0.625 0.233 0.786
Tl 0.767 0.214 0.375
Tl 0.786 0.625 0.233
Pd 0.500 0.500 0.500
CELL_PARAMETERS angstrom
5.140 2.968 4.109
-5.140 2.968 4.109
0.000 -5.935 4.109
! Calculated formation energy = -21 kJ/mol of atoms
! SG = R-3 (148)
! Final energy = -2.4481 eV/atom



No. 12
! GGA-PBE Li2Tl2Pd15, relaxed; values from VASP
&SYSTEM
  ibrav = 0, nat = 19, ntyp = 3
/
ATOMIC_SPECIES
Li 6.94 Li.upf
Tl 204.38 Tl.upf
Pd 106.42 Pd.upf
ATOMIC_POSITIONS crystal
Li 0.100 0.100 0.100
Li 0.900 0.900 0.900
Tl 0.349 0.349 0.349
Tl 0.651 0.651 0.651
Pd 0.000 0.000 0.500
Pd 0.000 0.326 0.674
Pd 0.000 0.500 0.000
Pd 0.000 0.674 0.326
Pd 0.165 0.664 0.664
Pd 0.326 0.000 0.674
Pd 0.326 0.674 0.000
Pd 0.336 0.336 0.835
Pd 0.336 0.835 0.336
Pd 0.500 0.000 0.000
Pd 0.664 0.165 0.664
Pd 0.664 0.664 0.165
Pd 0.674 0.000 0.326
Pd 0.674 0.326 0.000
Pd 0.835 0.336 0.336
CELL_PARAMETERS angstrom
4.526 2.613 4.610
-4.526 2.613 4.610
0.000 -5.226 4.610
! Calculated formation energy = -6 kJ/mol of atoms
! SG = R-3m (166)
! Final energy = -4.6137 eV/atom



No. 13
! GGA-PBE Li2TlPd, relaxed; values from VASP
&SYSTEM
  ibrav = 0, nat = 8, ntyp = 3
/
ATOMIC_SPECIES
Li 6.94 Li.upf
Tl 204.38 Tl.upf
Pd 106.42 Pd.upf
ATOMIC_POSITIONS crystal
Li 0.102 0.625 0.977
Li 0.375 0.352 0.477
Li 0.648 0.125 0.023
Li 0.875 0.898 0.523
Tl 0.250 0.750 0.500
Tl 0.500 0.500 0.000
Pd 0.000 0.000 0.000
Pd 0.750 0.250 0.500
CELL_PARAMETERS angstrom
-1.979 1.979 9.634
1.979 -1.979 9.634
1.979 1.979 -9.634
! Calculated formation energy = -15 kJ/mol of atoms
! SG = I-42d (122)
! Final energy = -3.0022 eV/atom



No. 14
! GGA-PBE Li5Tl2Pd2, relaxed; values from VASP
&SYSTEM
  ibrav = 0, nat = 9, ntyp = 3
/
ATOMIC_SPECIES
Li 6.94 Li.upf
Tl 204.38 Tl.upf
Pd 106.42 Pd.upf
ATOMIC_POSITIONS crystal
Li 0.000 0.000 0.000
Li 0.227 0.000 0.500
Li 0.227 0.500 0.000
Li 0.773 0.000 0.500
Li 0.773 0.500 0.000
Tl 0.000 0.500 0.500
Tl 0.500 0.501 0.501
Pd 0.360 0.000 0.000
Pd 0.640 0.000 0.000
CELL_PARAMETERS angstrom
9.110 0.000 0.000
0.000 3.025 3.019
0.000 -3.025 3.019
! Calculated formation energy = -16 kJ/mol of atoms
! SG = Amm2 (38)
! Final energy = -2.9119 eV/atom



No. 15
! GGA-PBE Li5TlPd2, relaxed; values from VASP
&SYSTEM
  ibrav = 0, nat = 8, ntyp = 3
/
ATOMIC_SPECIES
Li 6.94 Li.upf
Tl 204.38 Tl.upf
Pd 106.42 Pd.upf
ATOMIC_POSITIONS crystal
Li 0.000 0.000 0.000
Li 0.000 0.000 0.500
Li 0.000 0.500 0.000
Li 0.500 0.000 0.000
Li 0.500 0.500 0.000
Tl 0.500 0.500 0.500
Pd 0.000 0.500 0.500
Pd 0.500 0.000 0.500
CELL_PARAMETERS angstrom
3.936 -4.019 0.000
3.936 4.019 0.000
-3.929 0.000 4.007
! Calculated formation energy = -31 kJ/mol of atoms
! SG = C2/m (12)
! Final energy = -3.1140 eV/atom



No. 16
! GGA-PBE LiTlPd3, relaxed; values from VASP
&SYSTEM
  ibrav = 0, nat = 10, ntyp = 3
/
ATOMIC_SPECIES
Li 6.94 Li.upf
Tl 204.38 Tl.upf
Pd 106.42 Pd.upf
ATOMIC_POSITIONS crystal
Li 0.141 0.250 0.317
Li 0.859 0.750 0.683
Tl 0.309 0.250 0.722
Tl 0.691 0.750 0.278
Pd 0.000 0.000 0.000
Pd 0.000 0.500 0.000
Pd 0.291 0.750 0.503
Pd 0.454 0.750 0.893
Pd 0.546 0.250 0.107
Pd 0.709 0.250 0.497
CELL_PARAMETERS angstrom
4.626 0.000 0.000
0.000 5.103 0.000
-1.935 0.000 7.240
! Calculated formation energy = -20 kJ/mol of atoms
! SG = P2_1/m (11)
! Final energy = -4.1834 eV/atom



No. 17
! GGA-PBE Li8TlPd2, relaxed; values from VASP
&SYSTEM
  ibrav = 0, nat = 11, ntyp = 3
/
ATOMIC_SPECIES
Li 6.94 Li.upf
Tl 204.38 Tl.upf
Pd 106.42 Pd.upf
ATOMIC_POSITIONS crystal
Li 0.129 0.340 0.789
Li 0.160 0.160 0.000
Li 0.319 0.000 0.319
Li 0.450 0.660 0.789
Li 0.550 0.340 0.211
Li 0.681 0.000 0.681
Li 0.840 0.840 0.000
Li 0.871 0.660 0.211
Tl 0.000 0.500 0.500
Pd 0.298 0.798 0.500
Pd 0.702 0.202 0.500
CELL_PARAMETERS angstrom
-2.050 3.613 6.265
2.050 -3.613 6.265
2.050 3.613 -6.265
! Calculated formation energy = -24 kJ/mol of atoms
! SG = Immm (71)
! Final energy = -2.7980 eV/atom



No. 18
! GGA-PBE Li3TlPd3, relaxed; values from VASP
&SYSTEM
  ibrav = 0, nat = 28, ntyp = 3
/
ATOMIC_SPECIES
Li 6.94 Li.upf
Tl 204.38 Tl.upf
Pd 106.42 Pd.upf
ATOMIC_POSITIONS crystal
Li 0.022 0.194 0.904
Li 0.096 0.522 0.306
Li 0.194 0.904 0.022
Li 0.306 0.096 0.522
Li 0.404 0.478 0.806
Li 0.478 0.806 0.404
Li 0.522 0.306 0.096
Li 0.596 0.978 0.694
Li 0.694 0.596 0.978
Li 0.806 0.404 0.478
Li 0.904 0.022 0.194
Li 0.978 0.694 0.596
Tl 0.061 0.561 0.939
Tl 0.439 0.439 0.439
Tl 0.561 0.939 0.061
Tl 0.939 0.061 0.561
Pd 0.124 0.376 0.624
Pd 0.151 0.849 0.349
Pd 0.212 0.212 0.212
Pd 0.288 0.788 0.712
Pd 0.349 0.151 0.849
Pd 0.376 0.624 0.124
Pd 0.624 0.124 0.376
Pd 0.651 0.651 0.651
Pd 0.712 0.288 0.788
Pd 0.788 0.712 0.288
Pd 0.849 0.349 0.151
Pd 0.876 0.876 0.876
CELL_PARAMETERS angstrom
7.596 0.000 0.000
0.000 7.596 0.000
0.000 0.000 7.596
! Calculated formation energy = -27 kJ/mol of atoms
! SG = P2_13 (198)
! Final energy = -3.6601 eV/atom



No. 19
! GGA-PBE Li2TlPd8, relaxed; values from VASP
&SYSTEM
  ibrav = 0, nat = 11, ntyp = 3
/
ATOMIC_SPECIES
Li 6.94 Li.upf
Tl 204.38 Tl.upf
Pd 106.42 Pd.upf
ATOMIC_POSITIONS crystal
Li 0.199 0.199 0.000
Li 0.801 0.801 0.000
Tl 0.500 0.500 0.000
Pd 0.052 0.340 0.712
Pd 0.193 0.000 0.193
Pd 0.346 0.846 0.500
Pd 0.372 0.660 0.712
Pd 0.628 0.340 0.288
Pd 0.654 0.154 0.500
Pd 0.807 0.000 0.807
Pd 0.948 0.660 0.288
CELL_PARAMETERS angstrom
-2.069 3.426 6.118
2.069 -3.426 6.118
2.069 3.426 -6.118
! Calculated formation energy = -15 kJ/mol of atoms
! SG = Immm (71)
! Final energy = -4.4948 eV/atom



No. 20
! GGA-PBE Li2TlPd3, relaxed; values from VASP
&SYSTEM
  ibrav = 0, nat = 6, ntyp = 3
/
ATOMIC_SPECIES
Li 6.94 Li.upf
Tl 204.38 Tl.upf
Pd 106.42 Pd.upf
ATOMIC_POSITIONS crystal
Li 0.333 0.667 0.168
Li 0.667 0.333 0.832
Tl 0.000 0.000 0.500
Pd 0.000 0.000 0.000
Pd 0.333 0.667 0.695
Pd 0.667 0.333 0.305
CELL_PARAMETERS angstrom
4.428 0.000 0.000
-2.214 3.834 0.000
0.000 0.000 5.526
! Calculated formation energy = -37 kJ/mol of atoms
! SG = P-3m1 (164)
! Final energy = -4.0138 eV/atom